# BaHf3Tl2O8, relaxed, DFT PBE
# Energy   -343.44 eV per cell
# Total magnetization   0.00 Bohr magnetons per cell
# Mass density   8.09 g/cm³
# ΔE_f (raw)   -2.736 eV/atom
data_BaHf3Tl2O8
_cell_length_a 6.4885
_cell_length_b 6.4885
_cell_length_c 20.4160
_cell_angle_alpha 90.00
_cell_angle_beta 90.00
_cell_angle_gamma 120.00
_space_group_name_H-M_alt 'R 3 m'
_space_group_IT_number 160
_space_group_name_Hall 'R 3 -2"'
loop_
_atom_site_label
_atom_site_fract_x
_atom_site_fract_y
_atom_site_fract_z
Ba1 0.0000 0.0000 0.0000
Hf1 0.0015 0.5007 0.8757
Tl1 0.0000 0.0000 0.3902
Tl2 0.0000 0.0000 0.7579
O1 0.0000 0.0000 0.1535
O2 0.0000 0.0000 0.5924
O3 0.0338 0.5169 0.1544
O4 0.1817 0.3634 0.9267

=====

# HfGe2Br8, relaxed, DFT PBE
# Energy   -84.98 eV per cell
# Total magnetization   0.00 Bohr magnetons per cell
# Mass density   3.51 g/cm³
# ΔE_f (raw)   -0.902 eV/atom
data_HfGe2Br8
_cell_length_a 11.0668
_cell_length_b 11.1420
_cell_length_c 7.6375
_cell_angle_alpha 90.00
_cell_angle_beta 104.36
_cell_angle_gamma 90.00
_space_group_name_H-M_alt 'C 1 2/m 1'
_space_group_IT_number 12
loop_
_space_group_symop_operation_xyz
'x,y,z'
'-x,-y,-z'
'-x,y,-z'
'x,-y,z'
'x+1/2,y+1/2,z'
'-x+1/2,-y+1/2,-z'
'-x+1/2,y+1/2,-z'
'x+1/2,-y+1/2,z'
loop_
_atom_site_label
_atom_site_fract_x
_atom_site_fract_y
_atom_site_fract_z
Hf1 0.0000 0.0000 0.0000
Ge1 0.1618 0.0000 0.6008
Br1 0.0768 0.1667 0.8046
Br2 0.1242 0.5000 0.2474
Br3 0.2189 0.0000 0.2237

=====

# Nb2HgB, relaxed, DFT PBE
# Energy   -53.35 eV per cell
# Total magnetization   0.00 Bohr magnetons per cell
# DFT formation energy   111 meV/atom
# E above lowest polymorph   0.377 eV/atom
# Mass density   10.21 g/cm³
data_Nb2HgB
_cell_length_a 4.7003
_cell_length_b 4.8898
_cell_length_c 5.9838
_cell_angle_alpha 106.62
_cell_angle_beta 90.13
_cell_angle_gamma 100.93
_space_group_name_H-M_alt 'P 1'
_space_group_IT_number 1
loop_
_space_group_symop_operation_xyz
'x,y,z'
loop_
_atom_site_label
_atom_site_fract_x
_atom_site_fract_y
_atom_site_fract_z
Nb1 0.0000 0.0000 0.0000
Nb2 0.0521 0.3180 0.6250
Nb3 0.1618 0.6405 0.2454
Nb4 0.4871 0.8515 0.6762
Hg1 0.5346 0.2310 0.3303
Hg2 0.5925 0.4482 0.9338
B1 0.7655 0.8422 0.3607
B2 0.9724 0.8020 0.5953

=====

# Nd7AuBr12, relaxed, DFT PBE
# Energy   -265.99 eV per cell
# Total magnetization   2.87 Bohr magnetons per cell
# Mass density   5.14 g/cm³
# ΔE_f (raw)   -1.597 eV/atom
data_Nd7AuBr12
_cell_length_a 15.5574
_cell_length_b 15.5574
_cell_length_c 10.0056
_cell_angle_alpha 90.00
_cell_angle_beta 90.00
_cell_angle_gamma 120.00
_space_group_name_H-M_alt 'R -3'
_space_group_IT_number 148
_space_group_name_Hall '-R 3'
loop_
_atom_site_label
_atom_site_fract_x
_atom_site_fract_y
_atom_site_fract_z
Nd1 0.0000 0.0000 0.0000
Nd2 0.0445 0.8762 0.3307
Au1 0.0000 0.0000 0.5000
Br1 0.0301 0.4436 0.1628
Br2 0.0491 0.8645 0.8453

=====

# YMg3Sn, relaxed, DFT PBE
# Energy   -10.15 eV per cell
# Total magnetization   0.00 Bohr magnetons per cell
# DFT formation energy   1020 meV/atom
# E above lowest polymorph   0.678 eV/atom
# Mass density   2.42 g/cm³
data_YMg3Sn
_cell_length_a 5.7737
_cell_length_b 5.7737
_cell_length_c 5.7737
_cell_angle_alpha 90.00
_cell_angle_beta 90.00
_cell_angle_gamma 90.00
_space_group_name_H-M_alt 'P m -3 m'
_space_group_IT_number 221
_space_group_name_Hall '-P 4 2 3'
loop_
_atom_site_label
_atom_site_fract_x
_atom_site_fract_y
_atom_site_fract_z
Y1 0.0000 0.0000 0.0000
Mg1 0.0000 0.0000 0.5000
Sn1 0.5000 0.5000 0.5000

=====

# Hf6Pb2N, relaxed, DFT PBE
# Energy   -157.23 eV per cell
# Total magnetization   0.00 Bohr magnetons per cell
# Mass density   13.76 g/cm³
# ΔE_f (raw)   -0.351 eV/atom
data_Hf6Pb2N
_cell_length_a 6.2512
_cell_length_b 6.2512
_cell_length_c 9.2633
_cell_angle_alpha 90.00
_cell_angle_beta 90.00
_cell_angle_gamma 90.00
_space_group_name_H-M_alt 'P 4/m n c'
_space_group_IT_number 128
_space_group_name_Hall '-P 4 2n'
loop_
_atom_site_label
_atom_site_fract_x
_atom_site_fract_y
_atom_site_fract_z
Hf1 0.0000 0.0000 0.2477
Hf2 0.2273 0.2612 0.0000
Pb1 0.0000 0.5000 0.2500
N1 0.0000 0.0000 0.5000

=====

# K2NaPdF, relaxed, DFT PBE
# Energy   -13.77 eV per cell
# Total magnetization   0.00 Bohr magnetons per cell
# E above lowest polymorph   0.354 eV/atom
# Mass density   2.42 g/cm³
# ΔE_f (raw)   -0.639 eV/atom
data_K2NaPdF
_cell_length_a 6.2456
_cell_length_b 6.2456
_cell_length_c 3.9836
_cell_angle_alpha 90.00
_cell_angle_beta 90.00
_cell_angle_gamma 90.00
_space_group_name_H-M_alt 'P 4/m m m'
_space_group_IT_number 123
_space_group_name_Hall '-P 4 2'
loop_
_atom_site_label
_atom_site_fract_x
_atom_site_fract_y
_atom_site_fract_z
K1 0.0000 0.5000 0.0000
Na1 0.0000 0.0000 0.0000
Pd1 0.5000 0.5000 0.5000
F1 0.0000 0.0000 0.5000

=====

# Li2ZnAs4, relaxed, DFT PBE
# Energy   -43.30 eV per cell
# Total magnetization   0.00 Bohr magnetons per cell
# DFT formation energy   293 meV/atom
# Mass density   4.02 g/cm³
data_Li2ZnAs4
_cell_length_a 4.9839
_cell_length_b 4.9839
_cell_length_c 12.6071
_cell_angle_alpha 90.00
_cell_angle_beta 90.00
_cell_angle_gamma 90.00
_space_group_name_H-M_alt 'I 4/m m m'
_space_group_IT_number 139
_space_group_name_Hall '-I 4 2'
loop_
_atom_site_label
_atom_site_fract_x
_atom_site_fract_y
_atom_site_fract_z
Li1 0.0000 0.0000 0.1081
Zn1 0.0000 0.0000 0.5000
As1 0.0000 0.0000 0.3151
As2 0.0000 0.5000 0.0000

=====

# SmAsS3, relaxed, DFT PBE
# Energy   -107.35 eV per cell
# Total magnetization   0.00 Bohr magnetons per cell
# E above lowest polymorph   0.000 eV/atom
# Mass density   4.34 g/cm³
# ΔE_f (raw)   -1.018 eV/atom
data_SmAsS3
_cell_length_a 7.0615
_cell_length_b 3.7075
_cell_length_c 18.7732
_cell_angle_alpha 90.00
_cell_angle_beta 90.00
_cell_angle_gamma 90.00
_space_group_name_H-M_alt 'P n m a'
_space_group_IT_number 62
loop_
_space_group_symop_operation_xyz
'x,y,z'
'-x,-y,-z'
'-x+1/2,-y,z+1/2'
'x+1/2,y,-z+1/2'
'x+1/2,-y+1/2,-z+1/2'
'-x+1/2,y+1/2,z+1/2'
'-x,y+1/2,-z'
'x,-y+1/2,z'
loop_
_atom_site_label
_atom_site_fract_x
_atom_site_fract_y
_atom_site_fract_z
Sm1 0.2149 0.2500 0.1907
As1 0.2120 0.7500 0.4998
S1 0.0375 0.2500 0.7495
S2 0.0415 0.2500 0.4236
S3 0.1275 0.7500 0.0766

=====

# LaGeSe3, relaxed, DFT PBE
# Energy   -102.88 eV per cell
# Total magnetization   0.00 Bohr magnetons per cell
# E above lowest polymorph   0.000 eV/atom
# Mass density   5.44 g/cm³
# ΔE_f (raw)   -1.144 eV/atom
data_LaGeSe3
_cell_length_a 7.0745
_cell_length_b 8.0209
_cell_length_c 11.7341
_cell_angle_alpha 90.00
_cell_angle_beta 124.67
_cell_angle_gamma 90.00
_space_group_name_H-M_alt 'P 1 21/c 1'
_space_group_IT_number 14
loop_
_space_group_symop_operation_xyz
'x,y,z'
'-x,-y,-z'
'-x,y+1/2,-z+1/2'
'x,-y+1/2,z+1/2'
loop_
_atom_site_label
_atom_site_fract_x
_atom_site_fract_y
_atom_site_fract_z
La1 0.2149 0.1249 0.2522
Ge1 0.1483 0.6011 0.0704
Se1 0.0821 0.1776 0.9336
Se2 0.2925 0.6917 0.9404
Se3 0.4272 0.0264 0.7843

=====

# CrSb2P, relaxed, DFT PBE
# Energy   -44.83 eV per cell
# Total magnetization   4.52 Bohr magnetons per cell
# Mass density   6.20 g/cm³
# ΔE_f (raw)   0.216 eV/atom
data_CrSb2P
_cell_length_a 3.5089
_cell_length_b 3.8585
_cell_length_c 12.9190
_cell_angle_alpha 90.00
_cell_angle_beta 90.00
_cell_angle_gamma 90.00
_space_group_name_H-M_alt 'I m m 2'
_space_group_IT_number 44
loop_
_space_group_symop_operation_xyz
'x,y,z'
'-x,-y,z'
'-x,y,z'
'x,-y,z'
'x+1/2,y+1/2,z+1/2'
'-x+1/2,-y+1/2,z+1/2'
'-x+1/2,y+1/2,z+1/2'
'x+1/2,-y+1/2,z+1/2'
loop_
_atom_site_label
_atom_site_fract_x
_atom_site_fract_y
_atom_site_fract_z
Cr1 0.0000 0.0000 0.0000
Sb1 0.0000 0.0000 0.4064
Sb2 0.0000 0.5000 0.1867
P1 0.0000 0.5000 0.6209

=====

# SmHo2ErN4, relaxed, DFT PBE
# Energy   -65.13 eV per cell
# Total magnetization   0.00 Bohr magnetons per cell
# Mass density   9.80 g/cm³
# ΔE_f (raw)   -1.674 eV/atom
data_SmHo2ErN4
_cell_length_a 6.0273
_cell_length_b 3.4807
_cell_length_c 6.0278
_cell_angle_alpha 90.00
_cell_angle_beta 109.44
_cell_angle_gamma 90.00
_space_group_name_H-M_alt 'P 1 2/m 1'
_space_group_IT_number 10
loop_
_space_group_symop_operation_xyz
'x,y,z'
'-x,-y,-z'
'-x,y,-z'
'x,-y,z'
loop_
_atom_site_label
_atom_site_fract_x
_atom_site_fract_y
_atom_site_fract_z
Sm1 0.0000 0.0000 0.0000
Ho1 0.5000 0.0000 0.5000
Ho2 0.5000 0.5000 0.0000
Er1 0.0000 0.5000 0.5000
N1 0.2520 0.0000 0.7463
N2 0.2553 0.5000 0.2562

=====

# Cd12SnAu6, relaxed, DFT PBE
# Energy   -108.29 eV per cell
# Total magnetization   0.00 Bohr magnetons per cell
# DFT formation energy   -76 meV/atom
# E above lowest polymorph   0.039 eV/atom
# Mass density   10.17 g/cm³
data_Cd12SnAu6
_cell_length_a 12.9040
_cell_length_b 12.9040
_cell_length_c 8.9982
_cell_angle_alpha 90.00
_cell_angle_beta 90.00
_cell_angle_gamma 120.00
_space_group_name_H-M_alt 'R -3 m'
_space_group_IT_number 166
_space_group_name_Hall '-R 3 2"'
loop_
_atom_site_label
_atom_site_fract_x
_atom_site_fract_y
_atom_site_fract_z
Cd1 0.0000 0.3835 0.0000
Cd2 0.0833 0.1665 0.7783
Sn1 0.0000 0.0000 0.5000
Au1 0.0685 0.5343 0.7393

=====

# Mg2Ga2GePd5, relaxed, DFT PBE
# Energy   -90.91 eV per cell
# Total magnetization   0.00 Bohr magnetons per cell
# DFT formation energy   -563 meV/atom
# Mass density   7.95 g/cm³
data_Mg2Ga2GePd5
_cell_length_a 10.0087
_cell_length_b 10.0087
_cell_length_c 3.3052
_cell_angle_alpha 90.00
_cell_angle_beta 90.00
_cell_angle_gamma 90.00
_space_group_name_H-M_alt 'P 4/m b m'
_space_group_IT_number 127
_space_group_name_Hall '-P 4 2ab'
loop_
_atom_site_label
_atom_site_fract_x
_atom_site_fract_y
_atom_site_fract_z
Mg1 0.1626 0.3374 0.0000
Ga1 0.1346 0.6346 0.0000
Ge1 0.0000 0.0000 0.0000
Pd1 0.0000 0.5000 0.5000
Pd2 0.1068 0.8244 0.5000

=====

# Fe3SiPb, relaxed, DFT PBE
# Energy   -31.92 eV per cell
# Total magnetization   6.35 Bohr magnetons per cell
# E above lowest polymorph   0.000 eV/atom
# Mass density   8.10 g/cm³
# ΔE_f (raw)   0.520 eV/atom
data_Fe3SiPb
_cell_length_a 4.3550
_cell_length_b 4.3550
_cell_length_c 4.3550
_cell_angle_alpha 90.00
_cell_angle_beta 90.00
_cell_angle_gamma 90.00
_space_group_name_H-M_alt 'P m -3 m'
_space_group_IT_number 221
_space_group_name_Hall '-P 4 2 3'
loop_
_atom_site_label
_atom_site_fract_x
_atom_site_fract_y
_atom_site_fract_z
Fe1 0.0000 0.0000 0.5000
Si1 0.0000 0.0000 0.0000
Pb1 0.5000 0.5000 0.5000

=====

# Tb3Pm2Se6, relaxed, DFT PBE
# Energy   -191.63 eV per cell
# Total magnetization   0.00 Bohr magnetons per cell
# E above lowest polymorph   0.105 eV/atom
# Mass density   6.70 g/cm³
# ΔE_f (raw)   -1.780 eV/atom
data_Tb3Pm2Se6
_cell_length_a 4.1870
_cell_length_b 4.1870
_cell_length_c 60.7115
_cell_angle_alpha 90.00
_cell_angle_beta 90.00
_cell_angle_gamma 120.00
_space_group_name_H-M_alt 'R -3 m'
_space_group_IT_number 166
_space_group_name_Hall '-R 3 2"'
loop_
_atom_site_label
_atom_site_fract_x
_atom_site_fract_y
_atom_site_fract_z
Tb1 0.0000 0.0000 0.0000
Tb2 0.0000 0.0000 0.2806
Pm1 0.0000 0.0000 0.4458
Se1 0.0000 0.0000 0.0806
Se2 0.0000 0.0000 0.1969
Se3 0.0000 0.0000 0.3600

=====

# Al8AgPd2, relaxed, DFT PBE
# Energy   -91.86 eV per cell
# Total magnetization   0.00 Bohr magnetons per cell
# DFT formation energy   -250 meV/atom
# E above lowest polymorph   0.087 eV/atom
# Mass density   4.69 g/cm³
data_Al8AgPd2
_cell_length_a 7.3333
_cell_length_b 11.4420
_cell_length_c 4.6672
_cell_angle_alpha 90.00
_cell_angle_beta 103.98
_cell_angle_gamma 90.00
_space_group_name_H-M_alt 'C 1 2/m 1'
_space_group_IT_number 12
loop_
_space_group_symop_operation_xyz
'x,y,z'
'-x,-y,-z'
'-x,y,-z'
'x,-y,z'
'x+1/2,y+1/2,z'
'-x+1/2,-y+1/2,-z'
'-x+1/2,y+1/2,-z'
'x+1/2,-y+1/2,z'
loop_
_atom_site_label
_atom_site_fract_x
_atom_site_fract_y
_atom_site_fract_z
Al1 0.0000 0.2376 0.0000
Al2 0.1125 0.5000 0.7989
Al3 0.2020 0.1182 0.6270
Ag1 0.0000 0.0000 0.0000
Pd1 0.0000 0.3082 0.5000

=====

# ZnAg2C4S4N4, relaxed, DFT PBE
# Energy   -368.18 eV per cell
# Total magnetization   0.00 Bohr magnetons per cell
# Mass density   2.51 g/cm³
# ΔE_f (raw)   0.109 eV/atom
data_ZnAg2C4S4N4
_cell_length_a 19.6987
_cell_length_b 8.0992
_cell_length_c 8.5468
_cell_angle_alpha 90.00
_cell_angle_beta 95.68
_cell_angle_gamma 90.00
_space_group_name_H-M_alt 'C 1 2/c 1'
_space_group_IT_number 15
loop_
_space_group_symop_operation_xyz
'x,y,z'
'-x,-y,-z'
'-x,y,-z+1/2'
'x,-y,z+1/2'
'x+1/2,y+1/2,z'
'-x+1/2,-y+1/2,-z'
'-x+1/2,y+1/2,-z+1/2'
'x+1/2,-y+1/2,z+1/2'
loop_
_atom_site_label
_atom_site_fract_x
_atom_site_fract_y
_atom_site_fract_z
Zn1 0.0000 0.1613 0.2500
Ag1 0.1978 0.4135 0.7558
C1 0.0811 0.4215 0.4529
C2 0.1304 0.0334 0.6793
S1 0.1333 0.4291 0.0128
S2 0.2041 0.1159 0.6494
N1 0.0430 0.3147 0.4103
N2 0.0770 0.0268 0.1945

=====

# Ni2WCl, relaxed, DFT PBE
# Energy   -24.85 eV per cell
# Total magnetization   0.27 Bohr magnetons per cell
# E above lowest polymorph   0.229 eV/atom
# Mass density   9.85 g/cm³
# ΔE_f (raw)   0.377 eV/atom
data_Ni2WCl
_cell_length_a 2.9354
_cell_length_b 2.9354
_cell_length_c 6.5873
_cell_angle_alpha 90.00
_cell_angle_beta 90.00
_cell_angle_gamma 90.00
_space_group_name_H-M_alt 'P 4 m m'
_space_group_IT_number 99
loop_
_space_group_symop_operation_xyz
'x,y,z'
'-y,x,z'
'-x,-y,z'
'y,-x,z'
'-x,y,z'
'y,x,z'
'x,-y,z'
'-y,-x,z'
loop_
_atom_site_label
_atom_site_fract_x
_atom_site_fract_y
_atom_site_fract_z
Ni1 0.0000 0.0000 0.0000
Ni2 0.5000 0.5000 0.2004
W1 0.0000 0.0000 0.4139
Cl1 0.5000 0.5000 0.6847

=====

# TiB2, relaxed, DFT PBE
# Energy   -24.42 eV per cell
# Total magnetization   0.00 Bohr magnetons per cell
# DFT formation energy   -1057 meV/atom
# Mass density   4.49 g/cm³
data_TiB2
_cell_length_a 3.0361
_cell_length_b 3.0361
_cell_length_c 3.2215
_cell_angle_alpha 90.00
_cell_angle_beta 90.00
_cell_angle_gamma 120.00
_space_group_name_H-M_alt 'P 6/m m m'
_space_group_IT_number 191
_space_group_name_Hall '-P 6 2'
loop_
_atom_site_label
_atom_site_fract_x
_atom_site_fract_y
_atom_site_fract_z
Ti1 0.0000 0.0000 0.0000
B1 0.3333 0.6667 0.5000